No. 1
This record from Alexandria via LeMat-Bulk describes Ac4CuIrI2 after structural relaxation. The functional is PBE.

## Properties
- formation energy (no corrections) (eV/atom) = -0.826

abc: 7.672 4.477 9.010
angles: 90.00 106.74 90.00
Sites, in units of the cell vectors:
Ac: 0.221 0.000 0.185
Ac: 0.261 0.500 0.815
Ac: 0.739 0.500 0.185
Ac: 0.779 0.000 0.815
Cu: 0.500 0.000 0.000
Ir: 0.000 0.500 0.000
I: 0.000 0.000 0.500
I: 0.500 0.500 0.500


No. 2
This record from Alexandria via LeMat-Bulk describes Ac8CuNi3I4 after structural relaxation. The functional is PBE.

## Properties
- formation energy (no corrections) (eV/atom) = -0.672

abc: 9.983 9.983 9.983
angles: 52.34 52.34 52.34
Sites, in units of the cell vectors:
Ac: 0.219 0.732 0.732
Ac: 0.228 0.228 0.228
Ac: 0.268 0.268 0.781
Ac: 0.268 0.781 0.268
Ac: 0.732 0.219 0.732
Ac: 0.732 0.732 0.219
Ac: 0.772 0.772 0.772
Ac: 0.781 0.268 0.268
Cu: 0.500 0.500 0.500
Ni: 0.000 0.000 0.500
Ni: 0.000 0.500 0.000
Ni: 0.500 0.000 0.000
I: 0.000 0.000 0.000
I: 0.000 0.500 0.500
I: 0.500 0.000 0.500
I: 0.500 0.500 0.000


Question: Which value of formation energy (no corrections) does entry 2 give?
Answer: -0.672 eV/atom